No. 1
The following is a DFT calculation (PBE-GGA) of Cr2SbSe after structural relaxation.

Calculated values
* formation energy (no corrections): 0.193 eV/atom

abc: 9.878 9.878 9.878
angles: 18.57 18.57 18.57
Atoms (fractional coordinates):
Cr 0.000 0.000 0.000
Cr 0.266 0.266 0.266
Sb 0.525 0.525 0.525
Se 0.721 0.721 0.721

---

No. 2
The following is a DFT calculation (PBE-GGA) of CrSbSe3 after structural relaxation.

Calculated values
* formation energy (no corrections): 0.137 eV/atom

abc: 4.871 4.871 4.871
angles: 90.00 90.00 90.00
Atoms (fractional coordinates):
Cr 0.000 0.000 0.000
Sb 0.500 0.500 0.500
Se 0.000 0.000 0.500
Se 0.000 0.500 0.000
Se 0.500 0.000 0.000

---

No. 3
The following is a DFT calculation (PBE-GGA) of Cr2SbSe after structural relaxation.

Calculated values
* formation energy (no corrections): 0.360 eV/atom

abc: 4.513 4.513 4.513
angles: 60.00 60.00 60.00
Atoms (fractional coordinates):
Cr 0.250 0.250 0.250
Cr 0.750 0.750 0.750
Sb 0.000 0.000 0.000
Se 0.500 0.500 0.500

---

No. 4
The following is a DFT calculation (PBE-GGA) of CrSb2Se after structural relaxation.

Calculated values
* formation energy (no corrections): 0.399 eV/atom

abc: 7.970 7.970 7.970
angles: 134.34 134.34 66.55
Atoms (fractional coordinates):
Cr 0.000 0.000 0.000
Cr 0.750 0.250 0.500
Sb 0.095 0.625 0.970
Sb 0.375 0.345 0.470
Sb 0.655 0.125 0.030
Sb 0.875 0.905 0.530
Se 0.250 0.750 0.500
Se 0.500 0.500 0.000

---

no.,N(E_F) (states/eV/atom)
1,0.58
2,1.00
3,0.73
4,0.21